1:
Compound: Mn3V2O8
Source: Alexandria via LeMat-Bulk
Functional: PBE with a Hubbard U
Structure: relaxed Values from VASP.

Quantum ESPRESSO input file:
```
&SYSTEM
  ibrav = 0, nat = 39, ntyp = 3
/
ATOMIC_SPECIES
Mn 54.94 Mn.upf
V 50.94 V.upf
O 16.00 O.upf
CELL_PARAMETERS angstrom
-3.555 3.555 9.973
3.555 -3.555 9.973
3.555 3.555 -9.973
ATOMIC_POSITIONS angstrom
Mn 0.000 0.000 0.000
Mn 3.555 0.000 0.480
Mn 1.813 1.846 -2.520
Mn 0.000 0.000 5.422
Mn 5.263 1.813 2.520
Mn 3.555 0.000 9.493
Mn 1.741 1.708 7.453
Mn 0.000 0.000 14.524
Mn -1.708 1.741 12.493
V 5.356 1.089 -2.466
V 3.555 0.000 4.986
V 1.089 1.754 2.466
V 0.000 0.000 9.973
V -1.801 2.466 7.507
V 2.466 1.801 12.439
O 5.159 -0.293 1.989
O 3.913 1.964 -2.903
O 1.950 0.293 1.989
O 3.262 -1.604 7.984
O 1.467 3.203 -4.095
O -0.014 1.962 1.049
O 3.945 2.094 0.888
O 2.088 0.352 5.878
O -0.015 1.403 3.748
O 2.094 3.165 -0.888
O 3.906 1.467 4.095
O 1.460 0.390 9.085
O -0.358 1.590 7.069
O 1.964 3.197 2.903
O 3.848 1.604 7.984
O 1.590 0.358 12.876
O -0.390 1.460 10.861
O 0.014 5.148 1.049
O 2.151 3.539 6.225
O -2.151 3.570 6.225
O 1.593 3.541 8.924
O -1.593 3.569 8.924
O 0.015 5.706 3.748
O -0.352 2.088 14.068
```

Its crystal system is tetragonal. As for the space group: I-4. As for the calculated volume: 504 Å³/cell.

---

2:
Compound: Mn3V2O8
Source: Alexandria via LeMat-Bulk
Functional: PBE with a Hubbard U
Structure: relaxed Values from VASP.

Quantum ESPRESSO input file:
```
&SYSTEM
  ibrav = 0, nat = 26, ntyp = 3
/
ATOMIC_SPECIES
Mn 54.94 Mn.upf
V 50.94 V.upf
O 16.00 O.upf
CELL_PARAMETERS angstrom
3.164 -5.963 0.000
3.164 5.963 0.000
0.000 0.000 8.613
ATOMIC_POSITIONS angstrom
Mn 0.000 0.000 0.000
Mn 1.582 1.646 2.153
Mn 1.582 -1.646 6.460
Mn 3.164 0.000 4.306
Mn 4.746 1.646 2.153
Mn 4.746 -1.646 6.460
V 3.164 4.538 3.287
V 3.164 1.425 7.594
V 3.164 -1.425 1.019
V 3.164 -4.538 5.326
O 3.164 5.957 2.143
O 1.417 1.390 4.318
O 1.747 1.390 8.601
O 3.164 3.030 2.394
O 3.164 2.934 6.700
O 1.417 -1.390 4.295
O 1.747 -1.390 0.012
O 3.164 0.007 6.450
O 3.164 -0.007 2.163
O 4.581 1.390 8.601
O 4.912 1.390 4.318
O 3.164 -2.934 1.913
O 3.164 -3.030 6.219
O 4.581 -1.390 0.012
O 4.912 -1.390 4.295
O 3.164 -5.957 6.470
```

Its crystal system is orthorhombic. As for the space group: Cmce. As for the calculated volume: 325 Å³/cell.

---

Quick one: least stable of them? 1

---

1:
Compound: Mn2VO4
Source: Alexandria via LeMat-Bulk
Functional: PBE with a Hubbard U
Structure: relaxed Values from VASP.

Quantum ESPRESSO input file:
```
&SYSTEM
  ibrav = 0, nat = 14, ntyp = 3
/
ATOMIC_SPECIES
Mn 54.94 Mn.upf
V 50.94 V.upf
O 16.00 O.upf
CELL_PARAMETERS angstrom
5.327 0.000 0.000
0.000 9.471 0.000
0.000 0.000 3.059
ATOMIC_POSITIONS angstrom
Mn 0.000 1.644 0.000
Mn 0.000 7.826 0.000
Mn 2.664 3.091 0.000
Mn 2.664 6.380 0.000
V 0.000 4.735 1.529
V 2.664 0.000 1.529
O 1.292 4.735 0.000
O 1.332 2.368 1.529
O 1.332 7.103 1.529
O 1.372 0.000 0.000
O 3.955 0.000 0.000
O 3.995 2.368 1.529
O 3.995 7.103 1.529
O 4.036 4.735 0.000
```

Its crystal system is orthorhombic. As for the space group: Cmmm. As for the calculated volume: 154 Å³/cell.

---

2:
Compound: Mn2VO4
Source: Alexandria via LeMat-Bulk
Functional: PBE with a Hubbard U
Structure: relaxed Values from VASP.

Quantum ESPRESSO input file:
```
&SYSTEM
  ibrav = 0, nat = 14, ntyp = 3
/
ATOMIC_SPECIES
Mn 54.94 Mn.upf
V 50.94 V.upf
O 16.00 O.upf
CELL_PARAMETERS angstrom
3.073 1.774 5.073
-3.073 1.774 5.073
0.000 -3.549 5.073
ATOMIC_POSITIONS angstrom
Mn 0.000 0.000 0.000
Mn -1.547 -0.893 7.073
Mn 1.547 -0.893 7.073
Mn 0.000 1.786 7.073
V 0.000 0.000 4.000
V 0.000 0.000 9.655
O 0.000 0.000 5.938
O 0.000 -1.691 8.435
O -1.464 0.845 8.435
O -1.374 -0.793 10.767
O 1.374 -0.793 10.767
O 0.000 1.587 10.767
O 0.000 0.000 13.199
O 1.464 0.845 8.435
```

Its crystal system is trigonal. As for the space group: R3m. As for the calculated volume: 166 Å³/cell.

---

Quick one: least stable of them? 1

---

1:
Compound: YMnW2O8
Source: Alexandria via LeMat-Bulk
Functional: PBE with a Hubbard U
Structure: relaxed Values from VASP.

Quantum ESPRESSO input file:
```
&SYSTEM
  ibrav = 0, nat = 12, ntyp = 4
/
ATOMIC_SPECIES
Y 88.91 Y.upf
Mn 54.94 Mn.upf
W 183.84 W.upf
O 16.00 O.upf
CELL_PARAMETERS angstrom
5.274 0.000 0.000
0.154 5.970 0.000
2.537 2.043 5.119
ATOMIC_POSITIONS angstrom
Y 0.000 0.000 0.000
Mn 5.272 5.846 4.862
W 2.687 4.881 2.676
W 5.355 2.929 2.539
O 1.754 3.232 1.637
O 2.063 5.852 1.242
O 3.411 6.170 3.976
O 3.716 3.337 3.627
O 4.465 4.507 1.527
O 4.713 1.714 1.371
O 5.940 1.716 3.857
O 6.321 4.474 3.737
```

Its crystal system is triclinic. As for the space group: P1. As for the calculated volume: 161 Å³/cell.

---

2:
Compound: YMnW2O8
Source: Alexandria via LeMat-Bulk
Functional: PBE with a Hubbard U
Structure: relaxed Values from VASP.

Quantum ESPRESSO input file:
```
&SYSTEM
  ibrav = 0, nat = 24, ntyp = 4
/
ATOMIC_SPECIES
Y 88.91 Y.upf
Mn 54.94 Mn.upf
W 183.84 W.upf
O 16.00 O.upf
CELL_PARAMETERS angstrom
5.230 0.000 0.000
-0.120 5.867 0.000
-0.662 -0.098 10.097
ATOMIC_POSITIONS angstrom
Y 1.072 1.845 2.418
Y 3.376 3.925 7.679
Mn 0.778 1.702 7.690
Mn 3.670 4.068 2.408
W 1.166 4.883 0.049
W 0.873 4.823 5.011
W 3.575 0.947 5.087
W 3.281 0.887 10.048
O -0.362 0.377 8.926
O 0.004 0.597 4.063
O 0.177 3.682 3.753
O 0.001 3.489 8.860
O 1.550 3.642 6.234
O 1.876 3.676 1.426
O 2.187 0.640 0.975
O 1.957 0.523 6.110
O 2.491 5.247 3.987
O 2.260 5.130 9.122
O 2.572 2.094 8.671
O 2.898 2.128 3.863
O 4.447 2.281 1.238
O 4.271 2.087 6.344
O 4.444 5.172 6.034
O 4.810 5.393 1.172
```

Its crystal system is triclinic. As for the space group: P-1. As for the calculated volume: 310 Å³/cell.

---

Quick one: least stable of them? 1

---

1:
Compound: MnZn2WO6
Source: Alexandria via LeMat-Bulk
Functional: PBE with a Hubbard U
Structure: relaxed Values from VASP.

Quantum ESPRESSO input file:
```
&SYSTEM
  ibrav = 0, nat = 20, ntyp = 4
/
ATOMIC_SPECIES
Mn 54.94 Mn.upf
Zn 65.41 Zn.upf
W 183.84 W.upf
O 16.00 O.upf
CELL_PARAMETERS angstrom
5.340 0.000 0.000
0.000 5.317 0.000
-5.136 0.000 7.976
ATOMIC_POSITIONS angstrom
Mn 0.000 0.000 0.000
Mn -2.568 2.658 3.988
Zn -2.606 0.122 5.890
Zn -0.038 2.537 1.901
Zn 0.242 2.780 6.075
Zn 2.810 5.195 2.087
W 0.102 0.000 3.988
W 2.670 2.658 0.000
O -0.574 0.555 2.172
O -3.142 2.104 6.160
O 0.980 3.513 0.417
O -1.588 4.462 4.405
O 1.931 1.012 0.698
O -0.637 1.647 4.686
O 0.841 3.670 3.290
O -1.727 4.305 7.278
O 1.792 0.855 3.571
O -0.776 1.804 7.559
O 3.346 3.213 1.816
O 0.778 4.762 5.804
```

Its crystal system is monoclinic. As for the space group: P2_1/c. As for the calculated volume: 226 Å³/cell.

---

2:
Compound: MnZn2WO6
Source: Alexandria via LeMat-Bulk
Functional: PBE with a Hubbard U
Structure: relaxed Values from VASP.

Quantum ESPRESSO input file:
```
&SYSTEM
  ibrav = 0, nat = 10, ntyp = 4
/
ATOMIC_SPECIES
Mn 54.94 Mn.upf
Zn 65.41 Zn.upf
W 183.84 W.upf
O 16.00 O.upf
CELL_PARAMETERS angstrom
2.663 1.537 4.742
-2.663 1.537 4.742
0.000 -3.075 4.742
ATOMIC_POSITIONS angstrom
Mn 0.000 0.000 0.000
Zn 0.000 0.000 4.111
Zn 0.000 0.000 10.701
W 0.000 0.000 7.135
O -0.741 -1.345 5.807
O -1.629 -0.063 8.119
O -0.794 1.315 5.807
O 0.870 -1.379 8.119
O 1.535 0.030 5.807
O 0.760 1.443 8.119
```

Its crystal system is trigonal. As for the space group: R3. As for the calculated volume: 116 Å³/cell.

---

Quick one: least stable of them? 1

---

1:
Compound: YMnO
Source: Alexandria via LeMat-Bulk
Functional: PBE with a Hubbard U
Structure: relaxed Values from VASP.

Quantum ESPRESSO input file:
```
&SYSTEM
  ibrav = 0, nat = 12, ntyp = 3
/
ATOMIC_SPECIES
Y 88.91 Y.upf
Mn 54.94 Mn.upf
O 16.00 O.upf
CELL_PARAMETERS angstrom
3.256 0.000 0.000
0.000 3.256 0.000
0.000 0.000 17.023
ATOMIC_POSITIONS angstrom
Y 0.000 0.000 2.779
Y 0.000 0.000 14.244
Y 1.628 1.628 5.732
Y 1.628 1.628 11.291
Mn 0.000 1.628 0.000
Mn 0.000 1.628 8.512
Mn 1.628 0.000 0.000
Mn 1.628 0.000 8.512
O 0.000 0.000 5.178
O 0.000 0.000 11.846
O 1.628 1.628 3.334
O 1.628 1.628 13.690
```

Its crystal system is tetragonal. As for the space group: I4/mmm. As for the calculated volume: 181 Å³/cell.

---

2:
Compound: YMnO
Source: Alexandria via LeMat-Bulk
Functional: PBE with a Hubbard U
Structure: relaxed Values from VASP.

Quantum ESPRESSO input file:
```
&SYSTEM
  ibrav = 0, nat = 6, ntyp = 3
/
ATOMIC_SPECIES
Y 88.91 Y.upf
Mn 54.94 Mn.upf
O 16.00 O.upf
CELL_PARAMETERS angstrom
3.381 0.000 0.000
0.000 3.381 0.000
0.000 0.000 8.503
ATOMIC_POSITIONS angstrom
Y 0.845 0.845 1.379
Y 2.536 2.536 7.124
Mn 0.845 0.845 4.927
Mn 2.536 2.536 3.576
O 0.845 0.845 7.503
O 2.536 2.536 1.000
```

Its crystal system is tetragonal. As for the space group: P4/nmm. As for the calculated volume: 97 Å³/cell.

---

Quick one: least stable of them? 1

---

1:
Compound: YMn2O6
Source: Alexandria via LeMat-Bulk
Functional: PBE with a Hubbard U
Structure: relaxed Values from VASP.

Quantum ESPRESSO input file:
```
&SYSTEM
  ibrav = 0, nat = 9, ntyp = 3
/
ATOMIC_SPECIES
Y 88.91 Y.upf
Mn 54.94 Mn.upf
O 16.00 O.upf
CELL_PARAMETERS angstrom
5.011 0.000 0.000
-2.506 4.340 0.000
0.000 0.000 4.883
ATOMIC_POSITIONS angstrom
Y 0.000 0.000 0.000
Mn 0.000 2.893 2.441
Mn 2.506 1.447 2.441
O -0.915 1.584 3.497
O -1.591 2.756 1.385
O 1.829 0.000 3.497
O 0.915 1.584 1.385
O 3.182 0.000 1.385
O 1.591 2.756 3.497
```

Its crystal system is trigonal. As for the space group: P-31m. As for the calculated volume: 106 Å³/cell.

---

2:
Compound: YMn2O6
Source: Alexandria via LeMat-Bulk
Functional: PBE with a Hubbard U
Structure: relaxed Values from VASP.

Quantum ESPRESSO input file:
```
&SYSTEM
  ibrav = 0, nat = 9, ntyp = 3
/
ATOMIC_SPECIES
Y 88.91 Y.upf
Mn 54.94 Mn.upf
O 16.00 O.upf
CELL_PARAMETERS angstrom
5.429 0.000 0.000
-2.715 4.702 0.000
0.000 0.000 4.319
ATOMIC_POSITIONS angstrom
Y 0.000 0.000 0.000
Mn 0.000 3.135 0.000
Mn 2.715 1.567 0.000
O -1.013 1.754 0.971
O -1.702 2.948 3.348
O 2.025 0.000 0.971
O 1.013 1.754 3.348
O 3.404 0.000 3.348
O 1.702 2.948 0.971
```

Its crystal system is trigonal. As for the space group: P-31m. As for the calculated volume: 110 Å³/cell.

---

Quick one: least stable of them? 2

---

1:
Compound: MnZn3O4
Source: Alexandria via LeMat-Bulk
Functional: PBE with a Hubbard U
Structure: relaxed Values from VASP.

Quantum ESPRESSO input file:
```
&SYSTEM
  ibrav = 0, nat = 16, ntyp = 3
/
ATOMIC_SPECIES
Mn 54.94 Mn.upf
Zn 65.41 Zn.upf
O 16.00 O.upf
CELL_PARAMETERS angstrom
6.657 0.000 0.000
0.000 5.765 0.000
0.000 0.000 5.349
ATOMIC_POSITIONS angstrom
Mn 0.000 0.950 0.000
Mn 3.328 4.815 2.675
Zn 0.000 4.773 2.668
Zn 1.660 1.932 2.672
Zn 1.668 3.833 5.347
Zn 3.328 0.992 5.342
Zn 4.989 3.833 5.347
Zn 4.996 1.932 2.672
O 0.000 0.939 3.242
O 0.000 4.734 0.656
O 1.622 3.819 3.337
O 1.706 1.946 0.662
O 3.328 1.031 3.331
O 3.328 4.826 0.568
O 4.950 1.946 0.662
O 5.035 3.819 3.337
```

Its crystal system is orthorhombic. As for the space group: Pmn2_1. As for the calculated volume: 205 Å³/cell.

---

2:
Compound: MnZn3O4
Source: Alexandria via LeMat-Bulk
Functional: PBE with a Hubbard U
Structure: relaxed Values from VASP.

Quantum ESPRESSO input file:
```
&SYSTEM
  ibrav = 0, nat = 16, ntyp = 3
/
ATOMIC_SPECIES
Mn 54.94 Mn.upf
Zn 65.41 Zn.upf
O 16.00 O.upf
CELL_PARAMETERS angstrom
4.686 0.000 0.000
0.000 4.686 0.000
0.000 0.000 9.331
ATOMIC_POSITIONS angstrom
Mn 0.000 0.000 0.000
Mn 2.343 2.343 4.665
Zn 0.000 0.000 4.665
Zn 0.000 2.343 2.333
Zn 0.000 2.343 6.998
Zn 2.343 0.000 2.333
Zn 2.343 0.000 6.998
Zn 2.343 2.343 0.000
O 1.137 1.137 3.470
O 1.137 3.549 5.861
O 1.206 1.206 8.135
O 1.206 3.480 1.196
O 3.480 1.206 1.196
O 3.480 3.480 8.135
O 3.549 1.137 5.861
O 3.549 3.549 3.470
```

Its crystal system is tetragonal. As for the space group: I-42m. As for the calculated volume: 205 Å³/cell.

---

Quick one: least stable of them? 2

---

1:
Compound: Mn2Zn2O5
Source: Alexandria via LeMat-Bulk
Functional: PBE with a Hubbard U
Structure: relaxed Values from VASP.

Quantum ESPRESSO input file:
```
&SYSTEM
  ibrav = 0, nat = 18, ntyp = 3
/
ATOMIC_SPECIES
Mn 54.94 Mn.upf
Zn 65.41 Zn.upf
O 16.00 O.upf
CELL_PARAMETERS angstrom
5.625 0.000 0.000
0.000 10.236 0.000
0.000 0.000 3.681
ATOMIC_POSITIONS angstrom
Mn 1.391 1.311 0.000
Mn 1.421 6.429 0.000
Mn 4.204 3.808 0.000
Mn 4.234 8.926 0.000
Zn 1.128 9.143 1.840
Zn 1.684 4.025 1.840
Zn 3.941 6.211 1.840
Zn 4.497 1.093 1.840
O 0.000 5.118 0.000
O 0.625 8.363 0.000
O 1.065 0.948 1.840
O 1.748 6.066 1.840
O 2.188 3.245 0.000
O 2.813 0.000 0.000
O 3.437 6.991 0.000
O 3.877 4.170 1.840
O 4.560 9.288 1.840
O 5.000 1.873 0.000
```

Its crystal system is orthorhombic. As for the space group: Pbam. As for the calculated volume: 212 Å³/cell.

---

2:
Compound: Mn2Zn2O5
Source: Alexandria via LeMat-Bulk
Functional: PBE with a Hubbard U
Structure: relaxed Values from VASP.

Quantum ESPRESSO input file:
```
&SYSTEM
  ibrav = 0, nat = 18, ntyp = 3
/
ATOMIC_SPECIES
Mn 54.94 Mn.upf
Zn 65.41 Zn.upf
O 16.00 O.upf
CELL_PARAMETERS angstrom
4.916 -3.455 0.000
4.916 3.455 0.000
0.000 0.000 5.693
ATOMIC_POSITIONS angstrom
Mn 4.916 1.882 4.772
Mn 4.916 1.573 1.925
Mn 4.916 -1.573 3.768
Mn 4.916 -1.882 0.921
Zn 2.095 0.000 2.847
Zn 2.821 0.000 0.000
Zn 7.011 0.000 0.000
Zn 7.737 0.000 2.847
O 0.000 0.000 2.847
O 3.584 2.157 0.557
O 3.584 1.298 3.404
O 6.249 2.157 0.557
O 6.249 1.298 3.404
O 4.916 0.000 0.000
O 3.584 -1.298 2.289
O 3.584 -2.157 5.136
O 6.249 -1.298 2.289
O 6.249 -2.157 5.136
```

Its crystal system is orthorhombic. As for the space group: Cmce. As for the calculated volume: 193 Å³/cell.

---

Quick one: least stable of them? 2

---

1:
Compound: Mn2ZnO2
Source: Alexandria via LeMat-Bulk
Functional: PBE with a Hubbard U
Structure: relaxed Values from VASP.

Quantum ESPRESSO input file:
```
&SYSTEM
  ibrav = 0, nat = 10, ntyp = 3
/
ATOMIC_SPECIES
Mn 54.94 Mn.upf
Zn 65.41 Zn.upf
O 16.00 O.upf
CELL_PARAMETERS angstrom
6.661 0.000 0.000
0.000 6.661 0.000
0.000 0.000 2.867
ATOMIC_POSITIONS angstrom
Mn 0.973 2.358 0.000
Mn 2.358 5.688 0.000
Mn 4.303 0.973 0.000
Mn 5.688 4.303 0.000
Zn 0.000 0.000 0.000
Zn 3.331 3.331 0.000
O 0.978 4.308 1.433
O 2.353 0.978 1.433
O 4.308 5.683 1.433
O 5.683 2.353 1.433
```

Its crystal system is tetragonal. As for the space group: P4/mbm. As for the calculated volume: 127 Å³/cell.

---

2:
Compound: Mn2ZnO2
Source: Alexandria via LeMat-Bulk
Functional: PBE with a Hubbard U
Structure: relaxed Values from VASP.

Quantum ESPRESSO input file:
```
&SYSTEM
  ibrav = 0, nat = 10, ntyp = 3
/
ATOMIC_SPECIES
Mn 54.94 Mn.upf
Zn 65.41 Zn.upf
O 16.00 O.upf
CELL_PARAMETERS angstrom
4.108 0.000 0.000
0.000 4.108 0.000
0.000 0.000 11.132
ATOMIC_POSITIONS angstrom
Mn 0.000 0.000 2.372
Mn 0.000 0.000 8.761
Mn 2.054 2.054 3.194
Mn 2.054 2.054 7.938
Zn 0.000 0.000 5.566
Zn 2.054 2.054 0.000
O 0.000 2.054 2.783
O 0.000 2.054 8.349
O 2.054 0.000 2.783
O 2.054 0.000 8.349
```

Its crystal system is tetragonal. As for the space group: I4/mmm. As for the calculated volume: 188 Å³/cell.

---

Quick one: least stable of them? 1